NaCuSi2 | PBE | relaxed

CIF file:
```
data_NaCuSi2
_cell_length_a 4.731
_cell_length_b 4.731
_cell_length_c 16.037
_cell_angle_alpha 90.00
_cell_angle_beta 90.00
_cell_angle_gamma 90.00
_space_group_name_H-M_alt 'I -4 2 d'
_space_group_IT_number 122
_space_group_name_Hall 'I -4 2bw'
loop_
_atom_site_label
_atom_site_fract_x
_atom_site_fract_y
_atom_site_fract_z
_atom_site_occupancy
Na1 0.000 0.000 0.000 1
Cu1 0.000 0.000 0.500 1
Si1 0.001 0.250 0.625 1
```

## Properties
E above lowest polymorph ... 11 meV per atom
Formation energy from raw total energies ... 274.3 meV/atom
Spin magnetization ... 0.000 μB per formula unit

***

Na2CuSi2 | PBE | relaxed

CIF file:
```
data_Na2CuSi2
_cell_length_a 6.175
_cell_length_b 6.175
_cell_length_c 4.937
_cell_angle_alpha 90.00
_cell_angle_beta 90.00
_cell_angle_gamma 90.00
_space_group_name_H-M_alt 'P 4/m b m'
_space_group_IT_number 127
_space_group_name_Hall '-P 4 2ab'
loop_
_atom_site_label
_atom_site_fract_x
_atom_site_fract_y
_atom_site_fract_z
_atom_site_occupancy
Na1 0.176 0.324 0.000 1
Cu1 0.000 0.000 0.500 1
Si1 0.136 0.636 0.500 1
```

## Properties
Formation energy from raw total energies ... 45.1 meV/atom
Spin magnetization ... 0.000 μB per formula unit